This record from Alexandria via LeMat-Bulk describes a relaxed structure of CaP2WO8. The functional is GGA+U.

a b c (Å): 4.762 4.762 8.068
angles (deg): 72.84 72.84 60.00
Site moments in Bohr magnetons follow the coordinates.
Sites, in units of the cell vectors:
O 0.091 0.754 0.678  -0.01
O 0.524 0.246 0.322  -0.01
O 0.909 0.524 0.322  -0.01
O 0.476 0.091 0.678  -0.01
O 0.754 0.476 0.678  -0.01
O 0.246 0.909 0.322  -0.01
O 0.316 0.316 0.052  0.00
O 0.684 0.684 0.948  0.00
Ca 0.000 0.000 0.000  0.00
P 0.249 0.249 0.253  0.01
P 0.751 0.751 0.747  0.01
W 0.500 0.500 0.500  1.88

Output
DOS(E_F) = 3.7 states/eV/cell
DFT total energy = -7.1800 eV per atom
Space-group type = R32 (155)